1.
Here is a relaxed Tb3SmIn4 crystal from the Alexandria database. Energies are from GGA-PBE.

For the total energy, the calculation gives -4.176 eV/atom. The magnetic moment comes out at 0.0 μB/f.u. The formation energy from the elements is -0.481 eV per atom. As for the relative energy among the computed polymorphs: 0.0 meV/atom. As for the volume: 434 Å³/cell.

The structure belongs to space group Pmma (No. 51); the cell edges are 10.731, 7.542 and 5.364 Å and the angles 90.00°, 90.00° and 90.00°. The inequivalent atoms are Tb at (0.000, 0.000, 0.000), Tb at (0.250, 0.000, 0.498), Tb at (0.250, 0.500, 0.498), Sm at (0.000, 0.500, 0.000), In at (0.000, 0.247, 0.500) and In at (0.250, 0.247, 0.997).

=====

2.
Here is a relaxed TbSmIn crystal from the Alexandria database. Energies are from GGA-PBE.

For the total energy, the calculation gives -4.169 eV/atom. The magnetic moment comes out at 0.0 μB/f.u. The formation energy from the elements is -0.139 eV per atom. As for the relative energy among the computed polymorphs: 208.4 meV/atom. As for the volume: 179 Å³/cell.

The structure belongs to space group P2_1/m (No. 11); the cell edges are 3.450, 4.581 and 11.317 Å and the angles 90.00°, 90.00° and 90.00°. The inequivalent atoms are Tb at (0.001, 0.250, 0.107), Sm at (0.000, 0.250, 0.387) and In at (0.500, 0.250, 0.760).

=====

3.
Here is a relaxed TbSm5In crystal from the Alexandria database. Energies are from GGA-PBE.

For the total energy, the calculation gives -3.690 eV/atom. The magnetic moment comes out at 0.0 μB/f.u. The formation energy from the elements is 0.733 eV per atom. As for the volume: 593 Å³/cell.

The structure belongs to space group Imm2 (No. 44); the cell edges are 8.560, 11.630 and 5.954 Å and the angles 90.00°, 90.00° and 90.00°. The inequivalent atoms are Tb at (0.000, 0.000, 0.000), Sm at (0.000, 0.000, 0.482), Sm at (0.000, 0.250, 0.868), Sm at (0.172, 0.500, 0.263) and In at (0.000, 0.500, 0.743).

=====

4.
Here is a relaxed Tb5SmIn4 crystal from the Alexandria database. Energies are from GGA-PBE.

For the total energy, the calculation gives -4.263 eV/atom. The magnetic moment comes out at 0.0 μB/f.u. The formation energy from the elements is -0.380 eV per atom. As for the volume: 281 Å³/cell.

The structure belongs to space group P4/mmm (No. 123); the cell edges are 3.567, 3.567 and 22.079 Å and the angles 90.00°, 90.00° and 90.00°. The inequivalent atoms are Tb at (0.000, 0.000, 0.000), Tb at (0.000, 0.000, 0.192), Tb at (0.000, 0.000, 0.382), Sm at (0.500, 0.500, 0.500), In at (0.500, 0.500, 0.096) and In at (0.500, 0.500, 0.288).

=====

5.
Here is a relaxed TbSm7In2 crystal from the Alexandria database. Energies are from GGA-PBE.

For the total energy, the calculation gives -3.982 eV/atom. The magnetic moment comes out at 0.0 μB/f.u. The formation energy from the elements is 0.333 eV per atom. As for the volume: 795 Å³/cell.

The structure belongs to space group Cmmm (No. 65); the cell edges are 9.279, 15.835 and 5.412 Å and the angles 90.00°, 90.00° and 90.00°. The inequivalent atoms are Tb at (0.000, 0.000, 0.000), Sm at (0.000, 0.224, 0.000), Sm at (0.000, 0.500, 0.500), Sm at (0.182, 0.120, 0.500) and In at (0.000, 0.304, 0.500).

=====

6.
Here is a relaxed TbSm2In crystal from the Alexandria database. Energies are from GGA-PBE.

For the total energy, the calculation gives -4.417 eV/atom. The magnetic moment comes out at 0.0 μB/f.u. The formation energy from the elements is -0.216 eV per atom. As for the relative energy among the computed polymorphs: 53.8 meV/atom. As for the volume: 123 Å³/cell.

The structure belongs to space group P4/mmm (No. 123); the cell edges are 3.612, 3.612 and 9.441 Å and the angles 90.00°, 90.00° and 90.00°. The inequivalent atoms are Tb at (0.000, 0.000, 0.000), Sm at (0.500, 0.500, 0.273) and In at (0.000, 0.000, 0.500).

=====

7.
Here is a relaxed TbSm5In6 crystal from the Alexandria database. Energies are from GGA-PBE.

For the total energy, the calculation gives -4.211 eV/atom. The magnetic moment comes out at 0.0 μB/f.u. The formation energy from the elements is -0.489 eV per atom. As for the volume: 669 Å³/cell.

The structure belongs to space group C2/m (No. 12); the cell edges are 9.335, 16.232 and 5.405 Å and the angles 90.00°, 125.27° and 90.00°. The inequivalent atoms are Tb at (0.000, 0.000, 0.000), Sm at (0.000, 0.168, 0.500), Sm at (0.000, 0.334, 0.000), Sm at (0.000, 0.500, 0.500), In at (0.245, 0.000, 0.745) and In at (0.247, 0.165, 0.247).

=====

8.
Here is a relaxed Tb12Sm5In2 crystal from the Alexandria database. Energies are from GGA-PBE.

For the total energy, the calculation gives -4.467 eV/atom. The magnetic moment comes out at 0.0 μB/f.u. The formation energy from the elements is -0.012 eV per atom. As for the volume: 1212 Å³/cell.

The structure belongs to space group C2/m (No. 12); the cell edges are 15.435, 9.330 and 8.426 Å and the angles 90.00°, 92.42° and 90.00°. The inequivalent atoms are Tb at (0.054, 0.000, 0.325), Tb at (0.079, 0.500, 0.882), Tb at (0.126, 0.194, 0.668), Tb at (0.145, 0.316, 0.236), Sm at (0.000, 0.500, 0.500), Sm at (0.193, 0.000, 0.012), Sm at (0.233, 0.500, 0.578) and In at (0.000, 0.178, 0.000).